Record 1
Compound: MgZr2Ir
Source: the Alexandria database
Functional: GGA-PBEsol
Structure: optimized geometry Values from VASP.

Geometry as Quantum ESPRESSO input:
```
&SYSTEM
  ibrav = 0, nat = 4, ntyp = 3
/
ATOMIC_SPECIES
Ir 192.22 Ir.upf
Mg 24.30 Mg.upf
Zr 91.22 Zr.upf
ATOMIC_POSITIONS crystal
Ir 0.0000 0.0000 0.4932
Mg 0.5000 0.5000 0.7090
Zr 0.0000 0.0000 0.0076
Zr 0.5000 0.5000 0.2901
CELL_PARAMETERS angstrom
3.2329 0.0000 0.0000
0.0000 3.2329 0.0000
0.0000 0.0000 7.3541
```

Computed properties:
calculated total energy = -7.80 eV/atom
crystal system = tetragonal
space-group type = P4mm (99)


Record 2
Compound: MnInBr2
Source: the Alexandria database
Functional: GGA-PBEsol
Structure: optimized geometry Values from VASP.

Geometry as Quantum ESPRESSO input:
```
&SYSTEM
  ibrav = 0, nat = 4, ntyp = 3
/
ATOMIC_SPECIES
Br 79.90 Br.upf
In 114.82 In.upf
Mn 54.94 Mn.upf
ATOMIC_POSITIONS crystal
Br 0.1765 0.1764 0.3530
Br 0.8235 0.8236 0.6470
In 0.0000 0.5000 0.0000
Mn 0.5000 0.0000 0.0000
CELL_PARAMETERS angstrom
-0.8298 -1.6316 3.0439
-3.2038 -3.7295 -2.8725
6.1296 -0.4302 -0.6319
```

Computed properties:
distance to the lowest polymorph of the same formula = 0 meV per atom
crystal system = orthorhombic
space-group type = Immm (71)
energy relative to the elements, uncorrected = -23.8 kJ per mole of atoms


Record 3
Compound: In2Hg2Cl
Source: the Alexandria database
Functional: GGA-PBEsol
Structure: optimized geometry Values from VASP.

Geometry as Quantum ESPRESSO input:
```
&SYSTEM
  ibrav = 0, nat = 10, ntyp = 3
/
ATOMIC_SPECIES
Cl 35.45 Cl.upf
Hg 200.59 Hg.upf
In 114.82 In.upf
ATOMIC_POSITIONS crystal
Cl 0.0000 0.0000 0.0000
Cl 0.0000 0.5000 0.5000
Hg 0.5000 0.1312 0.6312
Hg 0.5000 0.6312 0.8688
Hg 0.5000 0.8688 0.3688
Hg 0.5000 0.3688 0.1312
In 0.0000 0.3218 0.8218
In 0.0000 0.8218 0.6782
In 0.0000 0.6782 0.1782
In 0.0000 0.1782 0.3218
CELL_PARAMETERS angstrom
3.9302 0.0000 0.0000
0.0000 8.0744 0.0000
0.0000 0.0000 8.0744
```

Computed properties:
crystal system = tetragonal
space-group type = P4/mbm (127)
energy relative to the elements, uncorrected = -24.6 kJ per mole of atoms


Record 4
Compound: Cd2P
Source: the Alexandria database
Functional: GGA-PBEsol
Structure: optimized geometry Values from VASP.

Geometry as Quantum ESPRESSO input:
```
&SYSTEM
  ibrav = 0, nat = 6, ntyp = 2
/
ATOMIC_SPECIES
Cd 112.41 Cd.upf
P 30.97 P.upf
ATOMIC_POSITIONS crystal
Cd 0.2500 0.7500 0.7500
Cd 0.7500 0.2500 0.7500
Cd 0.7500 0.7500 0.2500
Cd 0.2500 0.2500 0.2500
P 0.0000 0.0000 0.0000
P 0.5000 0.5000 0.5000
CELL_PARAMETERS angstrom
-2.3015 -3.1243 4.0872
4.4933 -3.4013 -0.0697
2.5053 3.2301 3.8798
```

Computed properties:
distance to the lowest polymorph of the same formula = 180 meV per atom
crystal system = cubic
space-group type = Pn-3m (224)